1.
Material: AgPb3
Method: DFT, PBE-GGA
State: optimized geometry

Output
The value obtained for the formation energy is 0.09 eV per atom.

Cell: 5.934 5.934 5.934 Å, 132.24 132.24 69.84°
Fractional positions:
Ag 0.000 0.000 0.000
Pb 0.500 0.500 0.000
Pb 0.250 0.750 0.500
Pb 0.750 0.250 0.500



2.
Material: Sm6DyHo3Er2
Method: DFT, PBE-GGA
State: optimized geometry

Output
The value obtained for the formation energy is 0.01 eV per atom.

Cell: 6.199 6.199 11.774 Å, 95.02 95.02 119.98°
Fractional positions:
Ho 0.833 0.167 0.500
Dy 0.000 0.000 0.000
Er 0.333 0.667 0.000
Ho 0.500 0.500 0.500
Ho 0.167 0.833 0.500
Er 0.667 0.333 0.000
Sm 0.583 0.916 0.750
Sm 0.250 0.250 0.750
Sm 0.417 0.084 0.250
Sm 0.916 0.583 0.750
Sm 0.750 0.750 0.250
Sm 0.084 0.417 0.250



3.
Material: HfGa3Fe
Method: DFT, PBE-GGA
State: optimized geometry

Output
The value obtained for the formation energy is 1.46 eV per atom. Its excess energy over the best structure of this formula in the dataset is 770 kJ/mol of formula units.

Cell: 4.914 4.914 4.914 Å, 90.00 90.00 90.00°
Site moments in Bohr magnetons follow the coordinates.
Fractional positions:
Fe 0.500 0.500 0.500  0.10
Ga 0.000 0.500 0.000  -0.03
Ga 0.500 0.000 0.000  0.00
Ga 0.000 0.000 0.500  -0.01
Hf 0.000 0.000 0.000  -0.08



4.
Material: PaFeCoB3
Method: DFT, PBE-GGA
State: optimized geometry

Output
The value obtained for the formation energy is -0.24 eV per atom.

Cell: 5.658 4.980 5.520 Å, 116.81 90.00 90.00°
Site moments in Bohr magnetons follow the coordinates.
Fractional positions:
Co 0.250 0.408 0.816  0.07
B 0.000 0.302 0.000  -0.02
Pa 0.250 0.745 0.490  0.04
B 0.000 0.698 0.000  -0.02
B 0.500 0.698 0.000  -0.02
Fe 0.250 0.033 0.067  0.93
Fe 0.750 0.967 0.933  0.93
B 0.500 0.302 0.000  -0.02
B 0.250 0.221 0.441  -0.02
B 0.750 0.779 0.559  -0.02
Co 0.750 0.592 0.184  0.07
Pa 0.750 0.255 0.510  0.04



5.
Material: TiBeInCo
Method: DFT, PBE-GGA
State: optimized geometry

Output
The value obtained for the formation energy is -0.12 eV per atom.

Cell: 4.265 4.265 4.265 Å, 60.00 60.00 60.00°
Fractional positions:
In 0.500 0.500 0.500
Co 0.750 0.750 0.750
Ti 0.000 0.000 0.000
Be 0.250 0.250 0.250



6.
Material: CsSc2HgW
Method: DFT, PBE-GGA
State: optimized geometry

Output
The value obtained for the formation energy is 2.14 eV per atom.

Cell: 5.226 5.001 5.226 Å, 90.00 90.00 90.00°
Fractional positions:
Cs 0.000 0.000 0.000
Sc 0.500 0.000 0.000
W 0.000 0.500 0.000
Hg 0.500 0.500 0.500
Sc 0.000 0.000 0.500



7.
Material: Rb3AlAg
Method: DFT, PBE-GGA
State: optimized geometry

Output
The value obtained for the formation energy is 0.46 eV per atom. Its excess energy over the best structure of this formula in the dataset is 0 kJ/mol of formula units.

Cell: 6.693 6.693 6.693 Å, 90.00 90.00 90.00°
Site moments in Bohr magnetons follow the coordinates.
Fractional positions:
Ag 0.000 0.000 0.000  0.03
Rb 0.000 0.500 0.000  0.02
Al 0.500 0.500 0.500  0.15
Rb 0.500 0.000 0.000  0.01
Rb 0.000 0.000 0.500  0.02



8.
Material: Ca2ZrNpN4
Method: DFT, PBE-GGA
State: optimized geometry

Output
As for the formation energy from raw total energies: -1332 meV per atom.

Cell: 3.410 5.867 5.969 Å, 108.66 90.00 90.00°
Site moments in Bohr magnetons follow the coordinates.
Fractional positions:
N 0.500 0.758 0.787  -0.06
N 0.000 0.742 0.216  -0.09
Zr 0.000 0.000 0.000  0.14
Ca 0.500 0.000 0.500  0.03
Np 0.500 0.500 0.000  2.69
Ca 0.000 0.500 0.500  0.04
N 0.500 0.242 0.213  -0.06
N 0.000 0.258 0.784  -0.09



9.
Material: Sm2InGe2Rh5
Method: DFT, PBE-GGA
State: optimized geometry

Output
The value obtained for the formation energy is -0.77 eV per atom.

Cell: 3.624 9.956 9.956 Å, 90.00 90.00 90.00°
Fractional positions:
Rh 0.500 0.432 0.286
Sm 0.000 0.675 0.175
Ge 0.000 0.622 0.878
Rh 0.500 0.932 0.214
Ge 0.000 0.122 0.622
Sm 0.000 0.825 0.675
Sm 0.000 0.325 0.825
Rh 0.500 0.000 0.500
Sm 0.000 0.175 0.325
Rh 0.500 0.786 0.932
Ge 0.000 0.378 0.122
Rh 0.500 0.286 0.568
Rh 0.500 0.568 0.714
Ge 0.000 0.878 0.378
Rh 0.500 0.714 0.432
In 0.000 0.000 0.000
In 0.000 0.500 0.500
Rh 0.500 0.068 0.786
Rh 0.500 0.214 0.068
Rh 0.500 0.500 0.000



10.
Material: RbOs2W
Method: DFT, PBE-GGA
State: optimized geometry

Output
The value obtained for the formation energy is 1.83 eV per atom. Its excess energy over the best structure of this formula in the dataset is 25 kJ/mol of formula units.

Cell: 4.641 4.641 4.641 Å, 60.00 60.00 60.00°
Fractional positions:
Rb 0.000 0.000 0.000
Os 0.250 0.250 0.250
Os 0.750 0.750 0.750
W 0.500 0.500 0.500



11.
Material: ScCo2SnC
Method: DFT, PBE-GGA
State: optimized geometry

Output
The value obtained for the formation energy is 2.11 eV per atom.

Cell: 4.614 5.417 4.614 Å, 90.00 90.00 90.00°
Site moments in Bohr magnetons follow the coordinates.
Fractional positions:
Co 0.000 0.000 0.500  1.55
Co 0.500 0.000 0.000  1.75
Sn 0.000 0.000 0.000  -0.04
C 0.500 0.500 0.500  0.06
Sc 0.000 0.500 0.000  0.16



12.
Material: Er4AlZn3
Method: DFT, PBE-GGA
State: optimized geometry

Output
The value obtained for the formation energy is -0.36 eV per atom. Its excess energy over the best structure of this formula in the dataset is 0 kJ/mol of formula units.

Cell: 3.557 5.010 10.022 Å, 90.00 90.00 90.00°
Fractional positions:
Zn 0.500 0.000 0.248
Er 0.000 0.500 0.747
Al 0.500 0.500 0.000
Er 0.000 0.500 0.253
Er 0.000 0.000 0.500
Er 0.000 0.000 0.000
Zn 0.500 0.500 0.500
Zn 0.500 0.000 0.752



Calculated DOS at the Fermi energy in order - 1.68, 13.99, 10.09, 8.41, 0.33, 6.47, 7.51, 5.75, 7.62, 3.86, 6.68, 7.07 states/eV/cell